(1)
## SbTe2IF (PBE-GGA)

Data for a geometry-optimized SbTe2IF structure. Values from VASP.

```
&SYSTEM
  ibrav = 0, nat = 5, ntyp = 4
/
ATOMIC_SPECIES
I 126.90 I.upf
Sb 121.76 Sb.upf
Te 127.60 Te.upf
F 19.00 F.upf
CELL_PARAMETERS angstrom
5.791 0.000 0.000
0.000 5.791 0.000
0.000 0.000 5.999
ATOMIC_POSITIONS angstrom
I 0.000 0.000 0.000
Sb 0.000 0.000 2.999
Te 0.000 2.895 0.000
Te 2.895 0.000 0.000
F 2.895 2.895 2.999
```

Results
For the volume, the calculation gives 40.2 Å³/atom. The formation energy without anion corrections comes out at 779.1 meV per atom. The symmetry is P4/mmm, No. 123.

(2)
## SbTe2IF (PBE-GGA)

Data for a geometry-optimized SbTe2IF structure. Values from VASP.

```
&SYSTEM
  ibrav = 0, nat = 5, ntyp = 4
/
ATOMIC_SPECIES
I 126.90 I.upf
Sb 121.76 Sb.upf
Te 127.60 Te.upf
F 19.00 F.upf
CELL_PARAMETERS angstrom
5.832 0.000 0.000
0.000 5.832 0.000
0.000 0.000 5.918
ATOMIC_POSITIONS angstrom
I 0.000 0.000 2.959
Sb 0.000 0.000 0.000
Te 0.000 2.916 0.000
Te 2.916 0.000 0.000
F 2.916 2.916 2.959
```

Results
For the volume, the calculation gives 40.3 Å³/atom. The formation energy without anion corrections comes out at 302.5 meV per atom. The symmetry is P4/mmm, No. 123.

The evaluated energy above the lowest structure with this stoichiometry for the records listed, in turn: 711 234 meV per atom.